VASP calculation (PBE-GGA) on crystalline BaSrLa2 at its relaxed geometry.

As for the energy of formation: 1.699 eV per formula unit. Its total magnetization is 0.0 μB per cell. For the total DFT energy (no corrections), the calculation gives -47.0 eV/cell.

It has space group I-42d (No. 122), with a = 9.8179 Å, b = 9.8179 Å, c = 7.2677 Å, α = 90.00°, β = 90.00° and γ = 90.00°. The inequivalent atoms are Ba at (0.0000, 0.0000, 0.0000), Sr at (0.0000, 0.0000, 0.5000) and La at (0.2379, 0.2500, 0.1250).